Entry 1:
Compound: CsGaAu
Source: the Open Quantum Materials Database
Functional: PBE
Structure: optimized geometry

CIF file:
```
data_CsGaAu
_chemical_formula_sum 'Cs4 Ga4 Au4'
_symmetry_space_group_name_H-M 'P 1'
_symmetry_Int_Tables_number 1
_symmetry_space_group_name_Hall 'P 1'
_cell_length_a 7.3914
_cell_length_b 8.5563
_cell_length_c 8.5660
_cell_angle_alpha 90.00
_cell_angle_beta 125.21
_cell_angle_gamma 90.00
loop_
_atom_site_label
_atom_site_fract_x
_atom_site_fract_y
_atom_site_fract_z
Au1 0.5013 0.1867 0.1880
Au2 0.4987 0.6867 0.3120
Au3 0.5013 0.3133 0.6880
Au4 0.4987 0.8133 0.8120
Cs1 0.8609 0.5012 0.1800
Cs2 0.1391 0.0012 0.3200
Cs3 0.8609 0.9988 0.6800
Cs4 0.1391 0.4988 0.8200
Ga1 0.4996 0.8940 0.1051
Ga2 0.5004 0.3940 0.3949
Ga3 0.4996 0.6060 0.6051
Ga4 0.5004 0.1060 0.8949
```

Symmetry ... P2_1/c
Excess energy over the best structure of this formula in the dataset ... 0.0000 eV per atom


Entry 2:
Compound: RbFeCoTe3
Source: the Open Quantum Materials Database
Functional: PBE
Structure: optimized geometry

CIF file:
```
data_RbFeCoTe3
_chemical_formula_sum 'Rb2 Fe2 Co2 Te6'
_symmetry_space_group_name_H-M 'P 1'
_symmetry_Int_Tables_number 1
_symmetry_space_group_name_Hall 'P 1'
_cell_length_a 9.2691
_cell_length_b 3.8207
_cell_length_c 9.8038
_cell_angle_alpha 90.00
_cell_angle_beta 114.04
_cell_angle_gamma 90.00
loop_
_atom_site_label
_atom_site_fract_x
_atom_site_fract_y
_atom_site_fract_z
Co1 0.5149 0.7500 0.1021
Co2 0.4851 0.2500 0.8979
Fe1 0.5251 0.2500 0.3272
Fe2 0.4749 0.7500 0.6728
Rb1 0.9886 0.2500 0.2334
Rb2 0.0114 0.7500 0.7666
Te1 0.3290 0.2500 0.0558
Te2 0.7257 0.7500 0.3534
Te3 0.3600 0.7500 0.3773
Te4 0.6400 0.2500 0.6227
Te5 0.2743 0.2500 0.6466
Te6 0.6710 0.7500 0.9442
```

Symmetry ... P2_1/m
Excess energy over the best structure of this formula in the dataset ... 0.0110 eV per atom


Entry 3:
Compound: HfFeCu2
Source: the Open Quantum Materials Database
Functional: PBE
Structure: optimized geometry

CIF file:
```
data_HfFeCu2
_chemical_formula_sum 'Hf1 Fe1 Cu2'
_symmetry_space_group_name_H-M 'P 1'
_symmetry_Int_Tables_number 1
_symmetry_space_group_name_Hall 'P 1'
_cell_length_a 4.2648
_cell_length_b 4.2648
_cell_length_c 4.2648
_cell_angle_alpha 60.00
_cell_angle_beta 60.00
_cell_angle_gamma 60.00
loop_
_atom_site_label
_atom_site_fract_x
_atom_site_fract_y
_atom_site_fract_z
Cu1 0.0000 0.0000 0.0000
Cu2 0.2500 0.2500 0.2500
Fe1 0.7500 0.7500 0.7500
Hf1 0.5000 0.5000 0.5000
```

Symmetry ... F-43m
ΔE_f ... 0.08 eV/atom


Entry 4:
Compound: RbHoZnTe3
Source: the Open Quantum Materials Database
Functional: PBE
Structure: optimized geometry

CIF file:
```
data_RbHoZnTe3
_chemical_formula_sum 'Rb4 Ho4 Zn4 Te12'
_symmetry_space_group_name_H-M 'P 1'
_symmetry_Int_Tables_number 1
_symmetry_space_group_name_Hall 'P 1'
_cell_length_a 11.0742
_cell_length_b 4.4739
_cell_length_c 16.6920
_cell_angle_alpha 90.00
_cell_angle_beta 90.00
_cell_angle_gamma 90.00
loop_
_atom_site_label
_atom_site_fract_x
_atom_site_fract_y
_atom_site_fract_z
Ho1 0.3282 0.2500 0.0576
Ho2 0.8282 0.2500 0.4424
Ho3 0.1718 0.7500 0.5576
Ho4 0.6718 0.7500 0.9424
Rb1 0.9619 0.7500 0.1798
Rb2 0.4619 0.7500 0.3202
Rb3 0.5381 0.2500 0.6798
Rb4 0.0381 0.2500 0.8202
Te1 0.8264 0.2500 0.0148
Te2 0.5214 0.7500 0.1017
Te3 0.2248 0.2500 0.2176
Te4 0.7248 0.2500 0.2824
Te5 0.0214 0.7500 0.3983
Te6 0.3264 0.2500 0.4852
Te7 0.6736 0.7500 0.5148
Te8 0.9786 0.2500 0.6017
Te9 0.2752 0.7500 0.7176
Te10 0.7752 0.7500 0.7824
Te11 0.4786 0.2500 0.8983
Te12 0.1736 0.7500 0.9852
Zn1 0.6666 0.2500 0.1323
Zn2 0.1666 0.2500 0.3677
Zn3 0.8334 0.7500 0.6323
Zn4 0.3334 0.7500 0.8677
```

Symmetry ... Pnma
Excess energy over the best structure of this formula in the dataset ... 0.0997 eV per atom


Entry 5:
Compound: HfGaW
Source: the Open Quantum Materials Database
Functional: PBE
Structure: optimized geometry

CIF file:
```
data_HfGaW
_chemical_formula_sum 'Hf1 Ga1 W1'
_symmetry_space_group_name_H-M 'P 1'
_symmetry_Int_Tables_number 1
_symmetry_space_group_name_Hall 'P 1'
_cell_length_a 4.4685
_cell_length_b 4.4685
_cell_length_c 4.4685
_cell_angle_alpha 60.00
_cell_angle_beta 60.00
_cell_angle_gamma 60.00
loop_
_atom_site_label
_atom_site_fract_x
_atom_site_fract_y
_atom_site_fract_z
Ga1 0.2500 0.2500 0.2500
Hf1 0.7500 0.7500 0.7500
W1 0.0000 0.0000 0.0000
```

Symmetry ... F-43m
Excess energy over the best structure of this formula in the dataset ... 0.0000 eV per atom


Entry 6:
Compound: NdZrTl
Source: the Open Quantum Materials Database
Functional: PBE
Structure: optimized geometry

CIF file:
```
data_NdZrTl
_chemical_formula_sum 'Nd1 Zr1 Tl1'
_symmetry_space_group_name_H-M 'P 1'
_symmetry_Int_Tables_number 1
_symmetry_space_group_name_Hall 'P 1'
_cell_length_a 5.0680
_cell_length_b 5.0680
_cell_length_c 5.0680
_cell_angle_alpha 60.00
_cell_angle_beta 60.00
_cell_angle_gamma 60.00
loop_
_atom_site_label
_atom_site_fract_x
_atom_site_fract_y
_atom_site_fract_z
Nd1 0.2500 0.2500 0.2500
Tl1 0.0000 0.0000 0.0000
Zr1 0.7500 0.7500 0.7500
```

Symmetry ... F-43m
Excess energy over the best structure of this formula in the dataset ... 0.0000 eV per atom


Entry 7:
Compound: Cu15Sn
Source: the Open Quantum Materials Database
Functional: PBE
Structure: optimized geometry

CIF file:
```
data_Cu15Sn
_chemical_formula_sum 'Cu30 Sn2'
_symmetry_space_group_name_H-M 'P 1'
_symmetry_Int_Tables_number 1
_symmetry_space_group_name_Hall 'P 1'
_cell_length_a 5.1126
_cell_length_b 2.6089
_cell_length_c 41.4639
_cell_angle_alpha 90.00
_cell_angle_beta 90.02
_cell_angle_gamma 90.00
loop_
_atom_site_label
_atom_site_fract_x
_atom_site_fract_y
_atom_site_fract_z
Cu1 0.8751 0.2500 0.1810
Cu2 0.6194 0.7500 0.2220
Cu3 0.1307 0.7500 0.2220
Cu4 0.8749 0.2500 0.2648
Cu5 0.3751 0.2500 0.2654
Cu6 0.1246 0.7500 0.3079
Cu7 0.6255 0.7500 0.3079
Cu8 0.8751 0.2500 0.3505
Cu9 0.3749 0.2500 0.3505
Cu10 0.6254 0.7500 0.3931
Cu11 0.1246 0.7500 0.3931
Cu12 0.3750 0.2500 0.4357
Cu13 0.8750 0.2500 0.4359
Cu14 0.6247 0.7500 0.4785
Cu15 0.1253 0.7500 0.4786
Cu16 0.8747 0.2500 0.5214
Cu17 0.3753 0.2500 0.5215
Cu18 0.1250 0.7500 0.5641
Cu19 0.6250 0.7500 0.5643
Cu20 0.8754 0.2500 0.6069
Cu21 0.3746 0.2500 0.6069
Cu22 0.6251 0.7500 0.6495
Cu23 0.1249 0.7500 0.6495
Cu24 0.3745 0.2500 0.6921
Cu25 0.8754 0.2500 0.6921
Cu26 0.6249 0.7500 0.7346
Cu27 0.1251 0.7500 0.7352
Cu28 0.8693 0.2500 0.7780
Cu29 0.3806 0.2500 0.7780
Cu30 0.1249 0.7500 0.8190
Sn1 0.3750 0.2500 0.1637
Sn2 0.6250 0.7500 0.8363
```

Symmetry ... P2_1/m
Excess energy over the best structure of this formula in the dataset ... 0.0313 eV per atom


Entry 8:
Compound: NaLuPbS3
Source: the Open Quantum Materials Database
Functional: PBE
Structure: optimized geometry

CIF file:
```
data_NaLuPbS3
_chemical_formula_sum 'Na4 Lu4 Pb4 S12'
_symmetry_space_group_name_H-M 'P 1'
_symmetry_Int_Tables_number 1
_symmetry_space_group_name_Hall 'P 1'
_cell_length_a 13.0419
_cell_length_b 4.0265
_cell_length_c 11.8180
_cell_angle_alpha 90.00
_cell_angle_beta 90.00
_cell_angle_gamma 90.00
loop_
_atom_site_label
_atom_site_fract_x
_atom_site_fract_y
_atom_site_fract_z
Lu1 0.9992 0.2500 0.1440
Lu2 0.4992 0.2500 0.3560
Lu3 0.5008 0.7500 0.6440
Lu4 0.0008 0.7500 0.8560
Na1 0.4560 0.7500 0.0869
Na2 0.9560 0.7500 0.4131
Na3 0.0440 0.2500 0.5869
Na4 0.5440 0.2500 0.9131
Pb1 0.7357 0.7500 0.0559
Pb2 0.2357 0.7500 0.4441
Pb3 0.7643 0.2500 0.5559
Pb4 0.2643 0.2500 0.9441
S1 0.1108 0.7500 0.0510
S2 0.5931 0.2500 0.1444
S3 0.8762 0.7500 0.2140
S4 0.3762 0.7500 0.2860
S5 0.0931 0.2500 0.3556
S6 0.6108 0.7500 0.4490
S7 0.3892 0.2500 0.5510
S8 0.9069 0.7500 0.6444
S9 0.6238 0.2500 0.7140
S10 0.1238 0.2500 0.7860
S11 0.4069 0.7500 0.8556
S12 0.8892 0.2500 0.9490
```

Symmetry ... Pnma
Excess energy over the best structure of this formula in the dataset ... 0.0371 eV per atom